No. 1
Ba2SrAg PBE-GGA optimized geometry; calculated volume = 209.5 Å³/cell; ΔE_f = -1.747 kcal/mol of atoms; energy relative to the lowest polymorph listed for this composition = 6.81 kJ per mole of atoms; space group = R3m, No. 160; density = 3.727 g/cm³; D(E_F) = 4.7 states/eV per cell
1.0
2.309 1.333 11.343
-2.309 1.333 11.343
0.000 -2.666 11.343
Ba Sr Ag
2 1 1
direct
0.000 0.000 0.000
0.219 0.219 0.219
0.445 0.445 0.445
0.726 0.726 0.726

No. 2
AlFeBr2 PBE-GGA optimized geometry; calculated volume = 97.0 Å³/cell; E_form (uncorrected) = -0.119 eV per atom; energy relative to the lowest polymorph listed for this composition = 15.05 kJ per mole of atoms; space group = Immm, No. 71; density = 4.154 g/cm³; D(E_F) = 3.2 states/eV per cell
1.0
-1.754 1.848 7.479
1.754 -1.848 7.479
1.754 1.848 -7.479
Al Fe Br
1 1 2
direct
0.000 0.000 0.000
0.500 0.500 0.000
0.364 0.864 0.500
0.636 0.136 0.500

No. 3
AcTb6Dy2Tm PBE-GGA optimized geometry; calculated volume = 667.1 Å³/cell; ΔE_f = 2.952 kcal/mol of atoms; space group = C2/c, No. 15; density = 8.337 g/cm³; D(E_F) = 28.7 states/eV per cell
1.0
4.612 -7.628 0.000
4.612 7.628 0.000
-0.845 0.000 9.481
Ac Tb Dy Tm
2 12 4 2
direct
0.028 0.972 0.750
0.972 0.028 0.250
0.012 0.557 0.683
0.131 0.752 0.057
0.248 0.869 0.443
0.288 0.508 0.884
0.443 0.988 0.817
0.492 0.712 0.616
0.508 0.288 0.384
0.557 0.012 0.183
0.712 0.492 0.116
0.752 0.131 0.557
0.869 0.248 0.943
0.988 0.443 0.317
0.204 0.318 0.549
0.318 0.204 0.049
0.682 0.796 0.951
0.796 0.682 0.451
0.413 0.587 0.250
0.587 0.413 0.750

No. 4
TeCSeBr2 PBE-GGA optimized geometry; calculated volume = 168.1 Å³/cell; E_form (uncorrected) = 1.556 eV per atom; energy relative to the lowest polymorph listed for this composition = 42.02 kJ per mole of atoms; space group = P4/mmm, No. 123; density = 3.739 g/cm³; D(E_F) = 6.3 states/eV per cell
1.0
5.511 0.000 0.000
0.000 5.511 0.000
0.000 0.000 5.533
Te C Se Br
1 1 1 2
direct
0.000 0.000 0.000
0.500 0.500 0.500
0.000 0.000 0.500
0.000 0.500 0.000
0.500 0.000 0.000

No. 5
Dy3Ga7Co2 PBE-GGA optimized geometry; calculated volume = 238.1 Å³/cell; ΔE_f = -8.186 kcal/mol of atoms; energy relative to the lowest polymorph listed for this composition = 9.25 kJ per mole of atoms; space group = I4/mmm, No. 139; density = 7.625 g/cm³; D(E_F) = 7.9 states/eV per cell
1.0
-2.241 2.241 11.849
2.241 -2.241 11.849
2.241 2.241 -11.849
Dy Ga Co
3 7 2
direct
0.000 0.000 0.000
0.181 0.181 0.000
0.819 0.819 0.000
0.091 0.591 0.500
0.301 0.301 0.000
0.409 0.909 0.500
0.500 0.500 0.000
0.591 0.091 0.500
0.699 0.699 0.000
0.909 0.409 0.500
0.399 0.399 0.000
0.601 0.601 0.000

No. 6
SrPtPb2O6 PBE-GGA optimized geometry; calculated volume = 303.0 Å³/cell; E_form (uncorrected) = -1.232 eV per atom; space group = P2_1/c, No. 14; density = 8.694 g/cm³; D(E_F) = 6.3 states/eV per cell
1.0
5.732 0.000 0.000
0.000 6.274 0.000
-5.636 0.000 8.425
Sr Pt Pb O
2 2 4 12
direct
0.000 0.000 0.000
0.000 0.500 0.500
0.500 0.000 0.500
0.500 0.500 0.000
0.215 0.033 0.723
0.215 0.467 0.223
0.785 0.533 0.777
0.785 0.967 0.277
0.179 0.160 0.479
0.179 0.340 0.979
0.218 0.742 0.891
0.218 0.758 0.391
0.414 0.108 0.290
0.414 0.392 0.790
0.586 0.608 0.210
0.586 0.892 0.710
0.782 0.242 0.609
0.782 0.258 0.109
0.821 0.660 0.021
0.821 0.840 0.521

No. 7
Li2TcAg PBE-GGA optimized geometry; calculated volume = 61.7 Å³/cell; ΔE_f = 6.956 kcal/mol of atoms; energy relative to the lowest polymorph listed for this composition = 18.31 kJ per mole of atoms; space group = Cm, No. 8; density = 5.917 g/cm³; D(E_F) = 2.6 states/eV per cell
1.0
4.793 -1.295 0.000
4.793 1.295 0.000
-0.563 0.000 4.966
Li Tc Ag
2 1 1
direct
0.000 0.000 0.000
0.242 0.242 0.757
0.492 0.492 0.496
0.745 0.745 0.263

No. 8
KHgF2 PBE-GGA optimized geometry; calculated volume = 192.0 Å³/cell; E_form (uncorrected) = -1.938 eV per atom; energy relative to the lowest polymorph listed for this composition = 0.00 kJ per mole of atoms; space group = Pm, No. 6; density = 4.804 g/cm³; D(E_F) = 0.0 states/eV per cell
1.0
6.757 0.000 0.000
0.000 3.803 0.000
-1.616 0.000 7.471
K Hg F
2 2 4
direct
0.000 0.000 0.000
0.439 0.500 0.851
0.009 0.000 0.532
0.670 0.000 0.298
0.031 0.500 0.761
0.336 0.000 0.618
0.390 0.000 0.101
0.775 0.500 0.093

No. 9
LiPm2In2 PBE-GGA optimized geometry; calculated volume = 273.4 Å³/cell; ΔE_f = -6.548 kcal/mol of atoms; energy relative to the lowest polymorph listed for this composition = 8.14 kJ per mole of atoms; space group = Cmc2_1, No. 36; density = 6.396 g/cm³; D(E_F) = 7.7 states/eV per cell
1.0
2.698 -7.783 0.000
2.698 7.783 0.000
0.000 0.000 6.510
Li Pm In
2 4 4
direct
0.081 0.919 0.500
0.919 0.081 0.000
0.280 0.720 0.505
0.500 0.500 0.253
0.500 0.500 0.753
0.720 0.280 0.005
0.105 0.895 0.001
0.323 0.677 0.005
0.677 0.323 0.505
0.895 0.105 0.501

No. 10
InHAu PBE-GGA optimized geometry; calculated volume = 106.5 Å³/cell; energy relative to the lowest polymorph listed for this composition = 3.62 kJ per mole of atoms; space group = P-1, No. 2; density = 9.753 g/cm³; D(E_F) = 1.3 states/eV per cell
1.0
3.046 0.000 0.000
-0.002 4.678 0.000
-1.197 -2.331 7.475
In H Au
2 2 2
direct
0.104 0.103 0.210
0.896 0.897 0.790
0.486 0.468 0.949
0.514 0.532 0.051
0.229 0.714 0.430
0.771 0.286 0.570